1.
First-principles (PBE-GGA) data for a relaxed structure of KMgRe2, as listed in the Alexandria database.

Cell and atoms, written as POSCAR:
```
KMgRe2
1.0
-0.387 10.632 -1.957
-3.062 10.310 -1.166
-1.068 10.738 0.765
Mg Re K
1 2 1
direct
0.250 0.250 0.250 Mg
0.990 0.990 0.990 Re
0.510 0.510 0.510 Re
0.750 0.750 0.750 K
```

## Properties
**Crystal system**: trigonal
**VASP energy**: -6.011 eV/atom
**N(E_F)**: 1.216 states/eV/atom
**Energy relative to the lowest polymorph listed for this composition**: 344.1 meV per atom
**ΔE_f**: 0.886 eV per atom
**SG**: No. 166

---

2.
First-principles (PBE-GGA) data for a relaxed structure of KMgRe2, as listed in the Alexandria database.

Cell and atoms, written as POSCAR:
```
KMgRe2
1.0
2.662 0.000 0.000
0.000 2.662 0.000
0.000 0.000 10.414
Re K Mg
2 1 1
direct
0.000 0.000 0.535 Re
0.000 0.000 0.965 Re
0.500 0.500 0.250 K
0.500 0.500 0.750 Mg
```

## Properties
**Crystal system**: tetragonal
**VASP energy**: -5.988 eV/atom
**N(E_F)**: 0.332 states/eV/atom
**Energy relative to the lowest polymorph listed for this composition**: 366.9 meV per atom
**ΔE_f**: 0.909 eV per atom
**SG**: No. 123

---

3.
First-principles (PBE-GGA) data for a relaxed structure of K2MgRe, as listed in the Alexandria database.

Cell and atoms, written as POSCAR:
```
K2MgRe
1.0
2.906 0.000 0.000
0.000 5.397 0.000
0.000 0.000 6.166
K Mg Re
2 1 1
direct
0.000 0.000 0.000 K
0.500 0.500 0.000 K
0.500 0.000 0.500 Mg
0.000 0.500 0.500 Re
```

## Properties
**Crystal system**: orthorhombic
**VASP energy**: -2.796 eV/atom
**N(E_F)**: 1.118 states/eV/atom
**Energy relative to the lowest polymorph listed for this composition**: 343.0 meV per atom
**ΔE_f**: 1.263 eV per atom
**SG**: No. 47

---

4.
First-principles (PBE-GGA) data for a relaxed structure of K3MgRe, as listed in the Alexandria database.

Cell and atoms, written as POSCAR:
```
K3MgRe
1.0
-5.745 -2.908 -0.685
2.571 -4.057 -4.343
1.521 -4.125 4.754
K Re Mg
3 1 1
direct
0.000 0.500 0.000 K
0.000 0.000 0.500 K
0.500 0.000 0.000 K
0.000 0.000 0.000 Re
0.500 0.500 0.500 Mg
```

## Properties
**Crystal system**: cubic
**VASP energy**: -1.986 eV/atom
**N(E_F)**: 2.350 states/eV/atom
**Energy relative to the lowest polymorph listed for this composition**: 0.0 meV per atom
**ΔE_f**: 1.481 eV per atom
**SG**: No. 221

---

5.
First-principles (PBE-GGA) data for a relaxed structure of K2MgRe2, as listed in the Alexandria database.

Cell and atoms, written as POSCAR:
```
K2MgRe2
1.0
-2.673 1.659 -9.753
-5.237 -8.808 -0.063
-2.261 1.338 0.847
K Mg Re
4 2 4
direct
0.707 0.793 0.500 K
0.207 0.707 0.500 K
0.793 0.293 0.500 K
0.293 0.207 0.500 K
0.500 0.500 0.000 Mg
0.000 0.000 0.000 Mg
0.924 0.576 0.000 Re
0.424 0.924 0.000 Re
0.076 0.424 0.000 Re
0.576 0.076 0.000 Re
```

## Properties
**Crystal system**: tetragonal
**VASP energy**: -4.478 eV/atom
**N(E_F)**: 0.611 states/eV/atom
**Energy relative to the lowest polymorph listed for this composition**: 0.0 meV per atom
**ΔE_f**: 1.259 eV per atom
**SG**: No. 127

---

6.
First-principles (PBE-GGA) data for a relaxed structure of KMgRe2, as listed in the Alexandria database.

Cell and atoms, written as POSCAR:
```
KMgRe2
1.0
-1.940 -0.825 -3.436
-1.511 -3.349 1.658
-10.025 3.334 2.497
K Mg Re
2 2 4
direct
0.000 0.000 0.000 K
0.750 0.250 0.500 K
0.250 0.750 0.500 Mg
0.500 0.500 0.000 Mg
0.875 0.450 0.750 Re
0.375 0.800 0.750 Re
0.550 0.625 0.250 Re
0.200 0.125 0.250 Re
```

## Properties
**Crystal system**: tetragonal
**VASP energy**: -5.483 eV/atom
**N(E_F)**: 0.904 states/eV/atom
**Energy relative to the lowest polymorph listed for this composition**: 872.8 meV per atom
**ΔE_f**: 1.415 eV per atom
**SG**: No. 122

---

7.
First-principles (PBE-GGA) data for a relaxed structure of KMg2Re, as listed in the Alexandria database.

Cell and atoms, written as POSCAR:
```
KMg2Re
1.0
2.845 0.026 0.000
-0.847 2.716 0.000
0.000 0.000 10.995
K Re Mg
1 1 2
direct
0.500 0.500 0.728 K
0.000 0.000 0.470 Re
0.000 0.000 0.031 Mg
0.500 0.500 0.272 Mg
```

## Properties
**Crystal system**: orthorhombic
**VASP energy**: -3.507 eV/atom
**N(E_F)**: 0.535 states/eV/atom
**Energy relative to the lowest polymorph listed for this composition**: 74.6 meV per atom
**ΔE_f**: 0.677 eV per atom
**SG**: No. 35

---

8.
First-principles (PBE-GGA) data for a relaxed structure of KMg2Re, as listed in the Alexandria database.

Cell and atoms, written as POSCAR:
```
KMg2Re
1.0
0.000 3.558 3.558
3.558 0.000 3.558
3.558 3.558 0.000
K Re Mg
1 1 2
direct
0.000 0.000 0.000 K
0.500 0.500 0.500 Re
0.750 0.750 0.750 Mg
0.250 0.250 0.250 Mg
```

## Properties
**Crystal system**: cubic
**VASP energy**: -3.140 eV/atom
**N(E_F)**: 0.867 states/eV/atom
**Energy relative to the lowest polymorph listed for this composition**: 441.2 meV per atom
**ΔE_f**: 1.044 eV per atom
**SG**: No. 225

---

9.
First-principles (PBE-GGA) data for a relaxed structure of KMg2Re, as listed in the Alexandria database.

Cell and atoms, written as POSCAR:
```
KMg2Re
1.0
4.859 0.008 -0.010
4.050 2.685 -0.010
0.359 0.108 7.407
Re K Mg
1 1 2
direct
0.750 0.750 0.750 Re
0.250 0.250 0.250 K
0.488 0.488 0.579 Mg
0.012 0.012 0.921 Mg
```

## Properties
**Crystal system**: monoclinic
**VASP energy**: -3.454 eV/atom
**N(E_F)**: 0.908 states/eV/atom
**Energy relative to the lowest polymorph listed for this composition**: 127.1 meV per atom
**ΔE_f**: 0.730 eV per atom
**SG**: No. 12

---

10.
First-principles (PBE-GGA) data for a relaxed structure of KMgRe2, as listed in the Alexandria database.

Cell and atoms, written as POSCAR:
```
KMgRe2
1.0
2.627 0.000 0.000
0.000 4.710 0.000
0.000 0.000 7.304
Re K Mg
2 1 1
direct
0.000 0.000 0.911 Re
0.000 0.000 0.589 Re
0.500 0.500 0.250 K
0.500 0.500 0.750 Mg
```

## Properties
**Crystal system**: orthorhombic
**VASP energy**: -5.965 eV/atom
**N(E_F)**: 0.834 states/eV/atom
**Energy relative to the lowest polymorph listed for this composition**: 390.3 meV per atom
**ΔE_f**: 0.932 eV per atom
**SG**: No. 47

---

11.
First-principles (PBE-GGA) data for a relaxed structure of K2Mg2Re, as listed in the Alexandria database.

Cell and atoms, written as POSCAR:
```
K2Mg2Re
1.0
10.268 0.000 0.000
0.000 10.268 0.000
0.000 0.000 2.870
Mg K Re
4 4 2
direct
0.604 0.896 0.500 Mg
0.396 0.104 0.500 Mg
0.896 0.396 0.500 Mg
0.104 0.604 0.500 Mg
0.692 0.192 0.000 K
0.308 0.808 0.000 K
0.192 0.308 0.000 K
0.808 0.692 0.000 K
0.000 0.000 0.000 Re
0.500 0.500 0.000 Re
```

## Properties
**Crystal system**: tetragonal
**VASP energy**: -2.206 eV/atom
**N(E_F)**: 0.641 states/eV/atom
**Energy relative to the lowest polymorph listed for this composition**: 26.9 meV per atom
**ΔE_f**: 1.360 eV per atom
**SG**: No. 127

---

12.
First-principles (PBE-GGA) data for a relaxed structure of KMgRe2, as listed in the Alexandria database.

Cell and atoms, written as POSCAR:
```
KMgRe2
1.0
6.132 0.197 0.168
2.681 5.519 -0.168
-3.630 -4.055 2.837
Re Mg K
2 1 1
direct
0.963 0.963 0.000 Re
0.800 0.300 0.500 Re
0.222 0.722 0.500 Mg
0.516 0.516 0.000 K
```

## Properties
**Crystal system**: orthorhombic
**VASP energy**: -5.796 eV/atom
**N(E_F)**: 0.906 states/eV/atom
**Energy relative to the lowest polymorph listed for this composition**: 558.9 meV per atom
**ΔE_f**: 1.101 eV per atom
**SG**: No. 44

---

Question: ΔE_f of number 11 (K2Mg2Re)?
Answer: 1.360 eV per atom